Computed, not measured: an optimized crystal structure of Ta2ZnAg at the PBE-GGA level of DFT.

Summary:
The value obtained for the total magnetization is 0.000 μB per atom. As for the volume: 17.02 A^3/atom. The value obtained for the total energy is -26.92 eV per cell.

Cell: 6.4007 5.0474 2.8730 Å, 90.47 62.49 120.17°
Fractional positions:
Ta (0.5000, 0.0000, 0.5000)
Ta (0.0000, 0.0000, 0.0000)
Ag (0.5000, 0.5000, 0.0000)
Zn (0.0000, 0.5000, 0.5000)



Computed, not measured: an optimized crystal structure of TaZn3Ag at the PBE-GGA level of DFT.

Summary:
The value obtained for the total magnetization is 0.000 μB per atom. As for the volume: 25.57 A^3/atom. The value obtained for the total energy is -12.65 eV per cell. The value obtained for the excess energy over the best structure of this formula in the dataset is 119 meV per atom.

Cell: 5.0377 5.0377 5.0377 Å, 90.00 90.00 90.00°
Fractional positions:
Ag (0.5000, 0.5000, 0.5000)
Ta (0.0000, 0.0000, 0.0000)
Zn (0.0000, 0.0000, 0.5000)
Zn (0.0000, 0.5000, 0.0000)
Zn (0.5000, 0.0000, 0.0000)



Computed, not measured: an optimized crystal structure of TaZnAg2 at the PBE-GGA level of DFT.

Summary:
The value obtained for the total magnetization is 0.000 μB per atom. As for the volume: 17.46 A^3/atom. The value obtained for the total energy is -17.39 eV per cell.

Cell: 5.2524 5.2524 2.7421 Å, 90.00 90.00 112.59°
Fractional positions:
Ag (0.5000, 0.5000, 0.0000)
Ag (0.0000, 0.0000, 0.0000)
Zn (0.0000, 0.5000, 0.5000)
Ta (0.5000, 0.0000, 0.5000)



Computed, not measured: an optimized crystal structure of Ta4ZnAg at the PBE-GGA level of DFT.

Summary:
The value obtained for the total magnetization is 0.000 μB per atom. As for the volume: 19.15 A^3/atom. The value obtained for the total energy is -48.06 eV per cell.

Cell: 5.4569 5.4569 5.4569 Å, 60.00 60.00 60.00°
Fractional positions:
Ta (0.3759, 0.3759, 0.3759)
Ta (0.8724, 0.3759, 0.3759)
Ta (0.3759, 0.3759, 0.8724)
Ta (0.3759, 0.8724, 0.3759)
Zn (0.7500, 0.7500, 0.7500)
Ag (0.0000, 0.0000, 0.0000)



Computed, not measured: an optimized crystal structure of TaZnAg2 at the PBE-GGA level of DFT.

Summary:
The value obtained for the total magnetization is 0.000 μB per atom. As for the volume: 16.87 A^3/atom. The value obtained for the total energy is -18.14 eV per cell.

Cell: 2.8870 2.8870 8.0970 Å, 90.00 90.00 90.00°
Fractional positions:
Ta (0.5000, 0.5000, 0.2500)
Ag (0.0000, 0.0000, 0.5150)
Ag (0.0000, 0.0000, 0.9850)
Zn (0.5000, 0.5000, 0.7500)



Computed, not measured: an optimized crystal structure of TaZnAg2 at the PBE-GGA level of DFT.

Summary:
The value obtained for the total magnetization is 0.000 μB per atom. As for the volume: 17.11 A^3/atom. The value obtained for the total energy is -17.94 eV per cell.

Cell: 4.3201 2.7887 5.8480 Å, 76.33 90.00 90.00°
Fractional positions:
Ag (0.0000, 0.8108, 0.0020)
Ag (0.5000, 0.1886, 0.2466)
Zn (0.5000, 0.9478, 0.7318)
Ta (0.0000, 0.5528, 0.5196)



Computed, not measured: an optimized crystal structure of TaZn3Ag at the PBE-GGA level of DFT.

Summary:
The value obtained for the total magnetization is 0.000 μB per atom. As for the volume: 19.87 A^3/atom. The value obtained for the total energy is -13.25 eV per cell. The value obtained for the excess energy over the best structure of this formula in the dataset is 0 meV per atom.

Cell: 4.6314 4.6314 4.6314 Å, 90.00 90.00 90.00°
Fractional positions:
Zn (0.5000, 0.0000, 0.0000)
Zn (0.0000, 0.5000, 0.0000)
Zn (0.0000, 0.0000, 0.5000)
Ta (0.5000, 0.5000, 0.5000)
Ag (0.0000, 0.0000, 0.0000)



Computed, not measured: an optimized crystal structure of TaZnAg2 at the PBE-GGA level of DFT.

Summary:
The value obtained for the total magnetization is 0.000 μB per atom. As for the volume: 17.21 A^3/atom. The value obtained for the total energy is -17.68 eV per cell.

Cell: 4.9515 4.9515 5.3210 Å, 80.26 80.26 32.41°
Fractional positions:
Zn (0.2522, 0.2522, 0.2510)
Ag (0.9905, 0.9905, 0.0064)
Ag (0.7496, 0.7496, 0.7476)
Ta (0.5077, 0.5077, 0.4951)



Computed, not measured: an optimized crystal structure of Ta2ZnAg at the PBE-GGA level of DFT.

Summary:
The value obtained for the total magnetization is 0.000 μB per atom. As for the volume: 17.38 A^3/atom. The value obtained for the total energy is -26.82 eV per cell.

Cell: 9.9490 9.9490 9.9490 Å, 16.53 16.53 16.53°
Fractional positions:
Ta (0.5020, 0.5020, 0.5020)
Ta (0.9980, 0.9980, 0.9980)
Ag (0.7500, 0.7500, 0.7500)
Zn (0.2500, 0.2500, 0.2500)



Computed, not measured: an optimized crystal structure of TaZnAg2 at the PBE-GGA level of DFT.

Summary:
The value obtained for the total magnetization is 0.000 μB per atom. As for the volume: 16.85 A^3/atom. The value obtained for the total energy is -17.33 eV per cell.

Cell: 4.5640 4.5640 4.5640 Å, 119.83 119.83 90.30°
Fractional positions:
Ag (0.0000, 0.0000, 0.0000)
Ag (0.2500, 0.7500, 0.5000)
Ta (0.5000, 0.5000, 0.0000)
Zn (0.7500, 0.2500, 0.5000)



Computed, not measured: an optimized crystal structure of Ta2ZnAg at the PBE-GGA level of DFT.

Summary:
The value obtained for the total magnetization is 0.000 μB per atom. As for the volume: 17.21 A^3/atom. The value obtained for the total energy is -27.04 eV per cell.

Cell: 4.4191 2.7470 5.8285 Å, 76.59 90.00 90.00°
Fractional positions:
Ta (0.0000, 0.9392, 0.9964)
Ta (0.5000, 0.3036, 0.2669)
Ag (0.5000, 0.5654, 0.7443)
Zn (0.0000, 0.6918, 0.4924)



Computed, not measured: an optimized crystal structure of Zr2TaAg at the PBE-GGA level of DFT.

Summary:
The value obtained for the total magnetization is 0.000 μB per atom. As for the volume: 20.30 A^3/atom. The value obtained for the total energy is -31.26 eV per cell. The value obtained for the excess energy over the best structure of this formula in the dataset is 134 meV per atom.

Cell: 2.9683 2.9683 9.2170 Å, 90.00 90.00 90.17°
Fractional positions:
Zr (0.5000, 0.5000, 0.2655)
Zr (0.0000, 0.0000, 0.9868)
Ag (0.0000, 0.0000, 0.5099)
Ta (0.5000, 0.5000, 0.7378)



Computed, not measured: an optimized crystal structure of ZrTaAg2 at the PBE-GGA level of DFT.

Summary:
The value obtained for the total magnetization is 0.000 μB per atom. As for the volume: 19.12 A^3/atom. The value obtained for the total energy is -24.76 eV per cell. The value obtained for the excess energy over the best structure of this formula in the dataset is 269 meV per atom.

Cell: 5.1509 5.1509 2.8819 Å, 90.00 90.00 90.00°
Fractional positions:
Ta (0.5000, 0.0000, 0.5000)
Ag (0.0000, 0.0000, 0.0000)
Ag (0.5000, 0.5000, 0.0000)
Zr (0.0000, 0.5000, 0.5000)



Computed, not measured: an optimized crystal structure of Zr2TaAg at the PBE-GGA level of DFT.

Summary:
The value obtained for the total magnetization is 0.000 μB per atom. As for the volume: 20.27 A^3/atom. The value obtained for the total energy is -31.13 eV per cell. The value obtained for the excess energy over the best structure of this formula in the dataset is 166 meV per atom.

Cell: 3.1335 3.9369 6.5729 Å, 90.00 90.00 90.00°
Fractional positions:
Zr (0.5000, 0.5000, 0.2575)
Zr (0.0000, 0.0000, 0.9879)
Ag (0.0000, 0.0000, 0.5068)
Ta (0.5000, 0.5000, 0.7478)



Computed, not measured: an optimized crystal structure of ZrTaAg2 at the PBE-GGA level of DFT.

Summary:
The value obtained for the total magnetization is 0.757 μB per atom. As for the volume: 19.44 A^3/atom. The value obtained for the total energy is -24.31 eV per cell. The value obtained for the excess energy over the best structure of this formula in the dataset is 381 meV per atom.

Cell: 4.7912 4.7912 4.7912 Å, 60.00 60.00 60.00°
Last column: magnetic moment on the atom in μB.
Fractional positions:
Zr (0.7500, 0.7500, 0.7500)  0.80
Ag (0.2500, 0.2500, 0.2500)  0.10
Ag (0.0000, 0.0000, 0.0000)  0.07
Ta (0.5000, 0.5000, 0.5000)  1.29



Computed, not measured: an optimized crystal structure of ZrTaAg2 at the PBE-GGA level of DFT.

Summary:
The value obtained for the total magnetization is 0.000 μB per atom. As for the volume: 18.95 A^3/atom. The value obtained for the total energy is -25.23 eV per cell. The value obtained for the excess energy over the best structure of this formula in the dataset is 151 meV per atom.

Cell: 4.7120 2.7722 5.9648 Å, 76.61 90.00 90.00°
Fractional positions:
Ag (0.5000, 0.0598, 0.2607)
Ag (0.0000, 0.1851, 0.9992)
Ta (0.0000, 0.4543, 0.4683)
Zr (0.5000, 0.8008, 0.7718)



Computed, not measured: an optimized crystal structure of Zr2TaAg at the PBE-GGA level of DFT.

Summary:
The value obtained for the total magnetization is 0.000 μB per atom. As for the volume: 20.08 A^3/atom. The value obtained for the total energy is -31.31 eV per cell. The value obtained for the excess energy over the best structure of this formula in the dataset is 121 meV per atom.

Cell: 4.8431 4.8431 4.8431 Å, 60.00 60.00 60.00°
Fractional positions:
Ag (0.0000, 0.0000, 0.0000)
Zr (0.7500, 0.7500, 0.7500)
Zr (0.2500, 0.2500, 0.2500)
Ta (0.5000, 0.5000, 0.5000)



Computed, not measured: an optimized crystal structure of ZrTaAg2 at the PBE-GGA level of DFT.

Summary:
The value obtained for the total magnetization is 0.000 μB per atom. As for the volume: 18.81 A^3/atom. The value obtained for the total energy is -25.15 eV per cell. The value obtained for the excess energy over the best structure of this formula in the dataset is 172 meV per atom.

Cell: 2.8214 2.8214 9.8235 Å, 90.00 90.00 105.78°
Fractional positions:
Ag (0.0000, 0.0000, 0.4927)
Ag (0.0000, 0.0000, 0.0073)
Zr (0.5000, 0.5000, 0.7500)
Ta (0.5000, 0.5000, 0.2500)



Computed, not measured: an optimized crystal structure of ZrTaAg2 at the PBE-GGA level of DFT.

Summary:
The value obtained for the total magnetization is 0.000 μB per atom. As for the volume: 18.90 A^3/atom. The value obtained for the total energy is -25.10 eV per cell. The value obtained for the excess energy over the best structure of this formula in the dataset is 184 meV per atom.

Cell: 3.3444 4.5570 4.9607 Å, 90.00 90.00 90.00°
Fractional positions:
Ta (0.5000, 0.0000, 0.5000)
Ag (0.0000, 0.0000, 0.0000)
Ag (0.5000, 0.5000, 0.0000)
Zr (0.0000, 0.5000, 0.5000)



Computed, not measured: an optimized crystal structure of ZrTaAg2 at the PBE-GGA level of DFT.

Summary:
The value obtained for the total magnetization is 0.000 μB per atom. As for the volume: 18.90 A^3/atom. The value obtained for the total energy is -25.13 eV per cell. The value obtained for the excess energy over the best structure of this formula in the dataset is 176 meV per atom.

Cell: 5.6920 5.6920 5.6920 Å, 145.51 133.05 59.54°
Fractional positions:
Ag (0.0078, 0.0078, 0.0000)
Ag (0.4922, 0.4922, 0.0000)
Ta (0.2500, 0.7500, 0.5000)
Zr (0.7500, 0.2500, 0.5000)